This record from Alexandria describes crystalline PmFeF6 at its relaxed geometry. The functional is PBE+U.

Values from the calculation:
Its energy above the most stable polymorph in this dataset is 0.000 eV/atom. The calculation puts the energy at -45.75 eV/cell.

a b c (Å): 6.7908 4.4341 4.4341
angles (deg): 91.74 117.14 62.86
Positions (direct):
1 F 0.2944 0.6233 0.0091
2 F 0.7056 0.4182 0.0324
3 F 0.0393 0.2796 0.7619
4 F 0.9607 0.7619 0.2796
5 F 0.2944 0.0324 0.4182
6 F 0.7056 0.0091 0.6233
7 Fe 0.0000 0.0207 0.0207
8 Pm 0.5000 0.0208 0.0208